Record 1
A plane-wave DFT calculation with PBE was carried out for crystalline SrAlPd2 at its relaxed geometry.

Cell: 4.3903 6.8205 6.0017 Å, 90.00 90.00 90.00°
With the nearest neighbours (Å) after each atom.
Fractional positions:
Sr 0.2500 0.2500 0.1407  8 Pd 3.27-3.32, 2 Al 3.64
Sr 0.7500 0.7500 0.8593  8 Pd 3.27-3.32, 2 Al 3.64
Al 0.2500 0.7500 0.3745  6 Pd 2.58
Al 0.7500 0.2500 0.6255  6 Pd 2.58
Pd 0.2500 0.0505 0.6364  3 Al 2.58, 3 Pd 2.72-2.82
Pd 0.2500 0.4495 0.6364  3 Al 2.58, 3 Pd 2.72-2.82
Pd 0.7500 0.5505 0.3636  3 Al 2.58, 3 Pd 2.72-2.82
Pd 0.7500 0.9495 0.3636  3 Al 2.58, 3 Pd 2.72-2.82

Calculated formation energy in eV per atom: -0.76
DOS(E_F) in states/eV/f.u.: 1.38
Raw total energy in eV/cell: -37.7

Record 2
A plane-wave DFT calculation with PBE was carried out for crystalline Sb3AuI at its relaxed geometry.

Cell: 5.4750 5.4750 5.4750 Å, 90.00 90.00 90.00°
With the nearest neighbours (Å) after each atom.
Fractional positions:
Sb 0.0000 0.0000 0.5000  2 Au 2.74
Sb 0.0000 0.5000 0.0000  2 Au 2.74
Sb 0.5000 0.0000 0.0000  2 Au 2.74
Au 0.0000 0.0000 0.0000  6 Sb 2.74
I 0.5000 0.5000 0.5000  12 Sb 3.87

Energy above the lowest structure with this stoichiometry in kJ/mol of atoms: 47.2
DOS(E_F) in states/eV/f.u.: 7.83
Formation energy from raw total energies in eV/f.u.: 2.85
Raw total energy in eV/cell: -14.3

Record 3
A plane-wave DFT calculation with PBE was carried out for crystalline CeSc3Se4 at its relaxed geometry.

Cell: 3.9167 3.9167 26.4362 Å, 90.00 90.00 120.00°
With the nearest neighbours (Å) after each atom.
Fractional positions:
Ce 0.3333 0.6667 0.2500  6 Se 2.98
Ce 0.6667 0.3333 0.7500  6 Se 2.98
Sc 0.0000 0.0000 0.0000  6 Se 2.75
Sc 0.0000 0.0000 0.5000  6 Se 2.75
Sc 0.3333 0.6667 0.6195  6 Se 2.72-2.77
Sc 0.3333 0.6667 0.8805  6 Se 2.72-2.77
Sc 0.6667 0.3333 0.1195  6 Se 2.72-2.77
Sc 0.6667 0.3333 0.3805  6 Se 2.72-2.77
Se 0.0000 0.0000 0.1766  3 Sc 2.72, 3 Ce 2.98
Se 0.0000 0.0000 0.3234  3 Sc 2.72, 3 Ce 2.98
Se 0.0000 0.0000 0.6766  3 Sc 2.72, 3 Ce 2.98
Se 0.0000 0.0000 0.8234  3 Sc 2.72, 3 Ce 2.98
Se 0.3333 0.6667 0.0591  6 Sc 2.75-2.77
Se 0.3333 0.6667 0.4409  6 Sc 2.75-2.77
Se 0.6667 0.3333 0.5591  6 Sc 2.75-2.77
Se 0.6667 0.3333 0.9409  6 Sc 2.75-2.77

DOS(E_F) in states/eV/f.u.: 9.69
Formation energy from raw total energies in eV/f.u.: -13.07
Raw total energy in eV/cell: -103.9